1.
! RbReBiO6, relaxed, DFT PBE; values from VASP
&SYSTEM
  ibrav = 0, nat = 9, ntyp = 4
/
ATOMIC_SPECIES
O 16.00 O.upf
Re 186.21 Re.upf
Bi 208.98 Bi.upf
Rb 85.47 Rb.upf
ATOMIC_POSITIONS angstrom
O 1.3229 1.8889 1.9338
Re 2.8357 1.6376 3.0765
O 4.3406 1.8994 4.2267
Bi 5.6707 3.2737 3.0762
O 3.8150 2.8113 1.9265
O 1.8604 2.8289 4.2178
O 3.3831 0.1969 1.9373
O 2.2924 0.2006 4.2171
Rb 8.5052 4.9102 6.1528
CELL_PARAMETERS angstrom
5.6709 0.0017 -0.0014
2.8370 4.9091 0.0004
-0.0008 0.0008 6.1539
! - Electronic total energy: -59.7 eV per cell
! - Energy relative to the elements, uncorrected: -12.7 eV/f.u.
! - Space group: C2, No. 5
! - D(E_F): 3.12 states/eV per cell

2.
! Rb2ReBiO6, relaxed, DFT PBE; values from VASP
&SYSTEM
  ibrav = 0, nat = 10, ntyp = 4
/
ATOMIC_SPECIES
Rb 85.47 Rb.upf
Bi 208.98 Bi.upf
O 16.00 O.upf
Re 186.21 Re.upf
ATOMIC_POSITIONS angstrom
Rb -0.4582 -1.0444 3.5391
Bi 0.5600 -3.9811 1.5060
Rb -2.6332 -2.6149 0.1905
O -3.9649 2.5319 1.3905
O -3.3410 -1.8885 3.0585
Re 0.0012 -0.0012 0.0025
O -2.4450 1.1939 4.0841
O -1.6225 0.1429 0.9896
O -1.4649 -3.8027 2.7378
O -4.8607 -0.5505 0.3648
CELL_PARAMETERS angstrom
-1.6137 -5.5505 -1.8467
2.7363 -2.4093 4.8508
-4.2170 4.3029 0.7208
! - Electronic total energy: -63.8 eV per cell
! - Energy relative to the elements, uncorrected: -15.7 eV/f.u.
! - Space group: Fm-3m, No. 225
! - D(E_F): 0.00 states/eV per cell

3.
! RbReBi2O8, relaxed, DFT PBE; values from VASP
&SYSTEM
  ibrav = 0, nat = 12, ntyp = 4
/
ATOMIC_SPECIES
O 16.00 O.upf
Bi 208.98 Bi.upf
Re 186.21 Re.upf
Rb 85.47 Rb.upf
ATOMIC_POSITIONS angstrom
O -1.2979 0.0143 1.5092
Bi 1.1118 0.3356 7.0118
Re 0.0000 0.0000 0.0000
O 0.8608 0.1464 9.2176
O -0.6006 -1.1138 6.2210
Rb 2.3067 0.4245 3.0782
O 0.1634 1.2744 4.5059
O -0.4139 -2.1184 3.1092
O -0.0233 2.2790 7.6177
O 2.1493 -1.7440 7.5783
Bi -1.5490 -0.1750 3.7151
O -2.5864 1.9046 3.1486
CELL_PARAMETERS angstrom
-3.8099 2.9490 2.2202
-1.2406 -3.6375 2.3503
4.6133 0.8491 6.1564
! - Electronic total energy: -75.4 eV per cell
! - Energy relative to the elements, uncorrected: -14.5 eV/f.u.
! - Space group: P-1, No. 2

no.,calculated density (g/cm3)
1,5.59
2,6.96
3,7.45